YIn2Ga: relaxed, PBE.

a b c (Å): 3.414 3.414 11.105
angles (deg): 81.16 81.16 60.00
Atoms (fractional coordinates):
Y (0.000, 0.000, 0.000)
In (0.096, 0.096, 0.713)
In (0.904, 0.904, 0.287)
Ga (0.500, 0.500, 0.500)

- DFT formation energy: 0.124 eV per atom
- Spin magnetization: 0.00 Bohr magnetons per cell
- VASP energy: -3.6179 eV/atom
- Symmetry: R-3m